Entry 1:
8
Lattice="-2.299 2.299 4.077 2.299 -2.299 4.077 2.299 2.299 -4.077" Properties=species:S:1:pos:R:3 comment="PRhC2 | the Alexandria database | PBE | relaxed" magmom_total_mub_per_fu=0.00 vol_a3_per_atom=10.77 formation_energy_ev_per_atom=0.46 pbc="T T T"
P 0.000 0.000 0.000
P 0.000 2.299 2.038
Rh 2.299 0.000 2.038
Rh 0.000 0.000 4.077
C 3.448 0.918 -1.019
C 0.918 1.149 1.019
C -1.149 1.381 3.058
C 1.381 1.149 5.096

Entry 2:
4
Lattice="2.921 0.000 0.000 0.000 2.921 0.000 0.000 0.000 8.005" Properties=species:S:1:pos:R:3 comment="Ta2AgRu | the Alexandria database | PBE | relaxed" magmom_total_mub_per_fu=0.00 polymorph_energy_mev_per_atom=11 vol_a3_per_atom=17.07 formation_energy_ev_per_atom=0.06 pbc="T T T"
Ta 0.000 0.000 1.794
Ta 0.000 0.000 6.211
Ag 1.460 1.460 4.002
Ru 1.460 1.460 0.000

Entry 3:
12
Lattice="-3.589 7.193 3.476 3.589 -7.193 3.476 3.589 7.193 -3.476" Properties=species:S:1:pos:R:3 comment="K2SrBeAs2 | the Alexandria database | PBE | relaxed" magmom_total_mub_per_fu=0.00 vol_a3_per_atom=29.91 formation_energy_ev_per_atom=-0.47 pbc="T T T"
K 1.401 2.649 0.000
K 1.401 -2.649 3.476
K 2.188 9.842 0.000
K 2.188 4.544 3.476
Sr 3.589 0.000 1.738
Sr 0.000 7.193 1.738
Be 0.000 0.000 1.738
Be 0.000 0.000 5.214
As 5.826 1.129 0.000
As 2.237 6.064 0.000
As 1.351 1.129 3.476
As -2.237 6.064 3.476

Entry 4:
4
Lattice="0.000 3.337 3.337 3.337 0.000 3.337 3.337 3.337 0.000" Properties=species:S:1:pos:R:3 comment="LiLuZnGa | the Alexandria database | PBE | relaxed" magmom_total_mub_per_fu=0.00 vol_a3_per_atom=18.57 formation_energy_ev_per_atom=-0.36 pbc="T T T"
Li 0.000 0.000 0.000
Lu 3.337 3.337 3.337
Zn 5.005 5.005 5.005
Ga 1.668 1.668 1.668